(1)
# B2RuO

A relaxed structure of B2RuO (PBE, Alexandria).

## Properties
size of the total moment	0.00	Bohr magnetons per cell
uncorrected energy	-6.80	eV per atom
crystal system	tetragonal

abc: 4.787 4.787 6.307
angles: 90.00 90.00 90.00
Space group I-42d (No. 122)
Symmetry-distinct sites (fractional):
B 0.166 0.250 0.125 x8
Ru 0.000 0.000 0.500 x4
O 0.000 0.000 0.000 x4


(2)
# BRuO

A relaxed structure of BRuO (PBE, Alexandria).

## Properties
size of the total moment	0.00	Bohr magnetons per cell
uncorrected energy	-7.55	eV per atom
crystal system	orthorhombic

abc: 2.728 13.765 3.906
angles: 90.00 90.00 90.00
Space group Cmc2_1 (No. 36)
Symmetry-distinct sites (fractional):
B 0.000 0.160 0.000 x4
Ru 0.000 0.314 0.918 x4
O 0.000 0.101 0.722 x4


(3)
# BRu3O

A relaxed structure of BRu3O (PBE, Alexandria).

## Properties
size of the total moment	0.00	Bohr magnetons per cell
crystal system	cubic
relative energy among the computed polymorphs	0.0	kJ/mol of atoms

abc: 3.960 3.960 3.960
angles: 90.00 90.00 90.00
Space group Pm-3m (No. 221)
Symmetry-distinct sites (fractional):
B 0.000 0.000 0.000 x1
Ru 0.000 0.500 0.500 x3
O 0.500 0.500 0.500 x1


(4)
# BRuSO2

A relaxed structure of BRuSO2 (PBE, Alexandria).

## Properties
size of the total moment	1.84	Bohr magnetons per cell
uncorrected energy	-5.14	eV per atom
crystal system	tetragonal

abc: 3.550 3.550 4.132
angles: 90.00 90.00 90.00
Space group P4/mmm (No. 123)
Symmetry-distinct sites (fractional):
B 0.000 0.000 0.000 x1
Ru 0.500 0.500 0.000 x1
S 0.000 0.000 0.500 x1
O 0.000 0.500 0.500 x2


(5)
# Sc2BRuO

A relaxed structure of Sc2BRuO (PBE, Alexandria).

## Properties
size of the total moment	0.00	Bohr magnetons per cell
uncorrected energy	-6.81	eV per atom
crystal system	tetragonal

abc: 4.816 4.816 3.102
angles: 90.00 90.00 90.00
Space group P4/mmm (No. 123)
Symmetry-distinct sites (fractional):
Sc 0.000 0.500 0.000 x2
B 0.000 0.000 0.000 x1
Ru 0.500 0.500 0.500 x1
O 0.000 0.000 0.500 x1


(6)
# SrBRuO5

A relaxed structure of SrBRuO5 (PBE, Alexandria).

## Properties
size of the total moment	0.00	Bohr magnetons per cell
uncorrected energy	-7.17	eV per atom
crystal system	monoclinic

abc: 6.496 8.659 7.094
angles: 90.00 114.37 90.00
Space group C2/c (No. 15)
Symmetry-distinct sites (fractional):
Sr 0.000 0.160 0.250 x4
B 0.000 0.193 0.750 x4
Ru 0.000 0.500 0.000 x4
O 0.000 0.445 0.250 x4
O 0.093 0.283 0.624 x8
O 0.177 0.084 0.901 x8


(7)
# SrB2RuO6

A relaxed structure of SrB2RuO6 (PBE, Alexandria).

## Properties
size of the total moment	6.00	Bohr magnetons per cell
uncorrected energy	-7.51	eV per atom
crystal system	trigonal

abc: 4.9623 4.9623 16.6329
angles: 90.00 90.00 120.00
Space group R-3 (No. 148, hexagonal axes)
Symmetry-distinct sites (fractional):
Sr 0.0000 0.0000 0.0000 x3
B 0.0000 0.0000 0.2323 x6
Ru 0.0000 0.0000 0.5000 x3
O 0.0328 0.4167 0.9034 x18


(8)
# SrBRuO6

A relaxed structure of SrBRuO6 (PBE, Alexandria).

## Properties
size of the total moment	1.00	Bohr magnetons per cell
uncorrected energy	-6.92	eV per atom
crystal system	triclinic

abc: 5.096 5.200 5.398
angles: 88.74 69.21 89.25
Space group P1 (No. 1)
Symmetry-distinct sites (fractional):
Sr 0.000 0.000 0.000 x1
B 0.543 0.582 0.103 x1
Ru 0.672 0.495 0.607 x1
O 0.362 0.316 0.697 x1
O 0.399 0.721 0.976 x1
O 0.592 0.686 0.319 x1
O 0.688 0.365 0.977 x1
O 0.902 0.739 0.627 x1
O 0.921 0.271 0.405 x1


(9)
# Sr3B2RuO8

A relaxed structure of Sr3B2RuO8 (PBE, Alexandria).

## Properties
size of the total moment	2.02	Bohr magnetons per cell
uncorrected energy	-7.10	eV per atom
crystal system	trigonal

abc: 5.2793 5.2793 6.8411
angles: 90.00 90.00 120.00
Space group P-3m1 (No. 164)
Symmetry-distinct sites (fractional):
Sr 0.0000 0.0000 0.0000 x1
Sr 0.3333 0.6667 0.6885 x2
B 0.3333 0.6667 0.2370 x2
Ru 0.0000 0.0000 0.5000 x1
O 0.1761 0.3522 0.3178 x6
O 0.3333 0.6667 0.0342 x2


(10)
# Sr2BRuO6

A relaxed structure of Sr2BRuO6 (PBE, Alexandria).

## Properties
size of the total moment	3.01	Bohr magnetons per cell
uncorrected energy	-6.79	eV per atom
crystal system	triclinic

abc: 5.341 5.465 5.466
angles: 104.21 111.57 111.57
Space group P-1 (No. 2)
Symmetry-distinct sites (fractional):
Sr 0.000 0.243 0.258 x2
B 0.500 0.000 0.500 x1
Ru 0.500 0.500 0.000 x1
O 0.049 0.298 0.800 x2
O 0.454 0.169 0.669 x2
O 0.498 0.723 0.774 x2


(11)
# TlB2RuO6

A relaxed structure of TlB2RuO6 (PBE, Alexandria).

## Properties
size of the total moment	9.04	Bohr magnetons per cell
uncorrected energy	-7.05	eV per atom
crystal system	trigonal

abc: 4.9419 4.9419 19.0526
angles: 90.00 90.00 120.00
Space group R-3 (No. 148, hexagonal axes)
Symmetry-distinct sites (fractional):
Tl 0.0000 0.0000 0.0000 x3
B 0.0000 0.0000 0.2227 x6
Ru 0.0000 0.0000 0.5000 x3
O 0.0280 0.4231 0.8932 x18


(12)
# TlBRuO6

A relaxed structure of TlBRuO6 (PBE, Alexandria).

## Properties
size of the total moment	0.00	Bohr magnetons per cell
uncorrected energy	-6.43	eV per atom
crystal system	trigonal

abc: 4.9642 4.9642 5.1743
angles: 90.00 90.00 120.00
Space group P3 (No. 143)
Symmetry-distinct sites (fractional):
Tl 0.0000 0.0000 0.0000 x1
B 0.6667 0.3333 0.7541 x1
Ru 0.3333 0.6667 0.4921 x1
O 0.0232 0.3431 0.3343 x3
O 0.4184 0.3886 0.7661 x3


(13)
# BS3O

A relaxed structure of BS3O (PBE, Alexandria).

## Properties
size of the total moment	0.00	Bohr magnetons per cell
crystal system	cubic
relative energy among the computed polymorphs	0.0	kJ/mol of atoms

abc: 4.046 4.046 4.046
angles: 90.00 90.00 90.00
Space group Pm-3m (No. 221)
Symmetry-distinct sites (fractional):
B 0.000 0.000 0.000 x1
S 0.000 0.000 0.500 x3
O 0.500 0.500 0.500 x1


(14)
# BSO4

A relaxed structure of BSO4 (PBE, Alexandria).

## Properties
size of the total moment	2.00	Bohr magnetons per cell
uncorrected energy	-6.16	eV per atom
crystal system	tetragonal

abc: 4.694 4.694 6.300
angles: 90.00 90.00 90.00
Space group I-4 (No. 82)
Symmetry-distinct sites (fractional):
B 0.000 0.000 0.000 x2
S 0.000 0.500 0.250 x2
O 0.148 0.219 0.131 x8


(15)
# BS2O8

A relaxed structure of BS2O8 (PBE, Alexandria).

## Properties
size of the total moment	2.14	Bohr magnetons per cell
uncorrected energy	-5.99	eV per atom
crystal system	monoclinic

abc: 8.543 7.850 4.892
angles: 90.00 94.21 90.00
Space group C2/m (No. 12)
Symmetry-distinct sites (fractional):
B 0.000 0.000 0.000 x2
S 0.209 0.000 0.309 x4
O 0.104 0.139 0.155 x8
O 0.131 0.500 0.763 x4
O 0.192 0.000 0.602 x4


(16)
# BS2O

A relaxed structure of BS2O (PBE, Alexandria).

## Properties
size of the total moment	0.00	Bohr magnetons per cell
crystal system	cubic
relative energy among the computed polymorphs	88.7	kJ/mol of atoms

abc: 5.474 5.474 5.474
angles: 90.00 90.00 90.00
Space group Fm-3m (No. 225)
Symmetry-distinct sites (fractional):
B 0.000 0.000 0.000 x4
S 0.250 0.250 0.250 x8
O 0.000 0.000 0.500 x4


(17)
# B2SO

A relaxed structure of B2SO (PBE, Alexandria).

## Properties
size of the total moment	0.00	Bohr magnetons per cell
crystal system	tetragonal
relative energy among the computed polymorphs	0.0	kJ/mol of atoms

abc: 4.332 4.332 7.960
angles: 90.00 90.00 90.00
Space group I-42d (No. 122)
Symmetry-distinct sites (fractional):
B 0.225 0.250 0.125 x8
S 0.000 0.000 0.500 x4
O 0.000 0.000 0.000 x4


(18)
# BS2O

A relaxed structure of BS2O (PBE, Alexandria).

## Properties
size of the total moment	3.99	Bohr magnetons per cell
crystal system	tetragonal
relative energy among the computed polymorphs	0.0	kJ/mol of atoms

abc: 5.261 5.261 7.757
angles: 90.00 90.00 90.00
Space group I-42d (No. 122)
Symmetry-distinct sites (fractional):
B 0.000 0.000 0.000 x4
S 0.192 0.250 0.125 x8
O 0.000 0.000 0.500 x4


(19)
# BS2O

A relaxed structure of BS2O (PBE, Alexandria).

## Properties
size of the total moment	0.00	Bohr magnetons per cell
crystal system	trigonal
relative energy among the computed polymorphs	1.9	kJ/mol of atoms

abc: 3.1383 3.1383 17.5870
angles: 90.00 90.00 120.00
Space group R-3m (No. 166, hexagonal axes)
Symmetry-distinct sites (fractional):
B 0.0000 0.0000 0.0000 x3
S 0.0000 0.0000 0.3981 x6
O 0.0000 0.0000 0.5000 x3


(20)
# B2SO

A relaxed structure of B2SO (PBE, Alexandria).

## Properties
size of the total moment	0.00	Bohr magnetons per cell
crystal system	cubic
relative energy among the computed polymorphs	114.8	kJ/mol of atoms

abc: 5.151 5.151 5.151
angles: 90.00 90.00 90.00
Space group Fm-3m (No. 225)
Symmetry-distinct sites (fractional):
B 0.250 0.250 0.250 x8
S 0.000 0.000 0.000 x4
O 0.000 0.000 0.500 x4